No. 1
A relaxed MgCo2CuH crystal, computed with PBE.

```
data_MgCo2CuH
_cell_length_a 3.6569
_cell_length_b 3.6569
_cell_length_c 3.8852
_cell_angle_alpha 90.00
_cell_angle_beta 90.00
_cell_angle_gamma 90.00
_symmetry_space_group_name_H-M 'P 4/m m m'
_symmetry_Int_Tables_number 123
_symmetry_space_group_name_Hall '-P 4 2'
loop_
_atom_site_label
_atom_site_fract_x
_atom_site_fract_y
_atom_site_fract_z
_atom_site_occupancy
Mg1 0.0000 0.0000 0.0000 1
Co1 0.0000 0.5000 0.5000 1
Cu1 0.5000 0.5000 0.0000 1
H1 0.5000 0.5000 0.5000 1
```

mass density: 6.607 g cm⁻³
total moment: 1.94 μB/f.u.
DFT total energy: -4.57 eV/atom



No. 2
A relaxed Mg2CoCuH6 crystal, computed with PBE.

```
data_Mg2CoCuH6
_cell_length_a 4.4370
_cell_length_b 4.4370
_cell_length_c 4.8414
_cell_angle_alpha 90.00
_cell_angle_beta 90.00
_cell_angle_gamma 120.00
_symmetry_space_group_name_H-M 'P -3 m 1'
_symmetry_Int_Tables_number 164
_symmetry_space_group_name_Hall '-P 3 2"'
loop_
_atom_site_label
_atom_site_fract_x
_atom_site_fract_y
_atom_site_fract_z
_atom_site_occupancy
Mg1 0.3333 0.6667 0.2855 1
Co1 0.0000 0.0000 0.5000 1
Cu1 0.0000 0.0000 0.0000 1
H1 0.1633 0.3265 0.7073 1
```

mass density: 3.564 g cm⁻³
total moment: 0.00 μB/f.u.
DFT total energy: -3.53 eV/atom



No. 3
A relaxed MgCoCu2H crystal, computed with PBE.

```
data_MgCoCu2H
_cell_length_a 3.8593
_cell_length_b 3.8593
_cell_length_c 3.5741
_cell_angle_alpha 90.00
_cell_angle_beta 90.00
_cell_angle_gamma 90.00
_symmetry_space_group_name_H-M 'P 4/m m m'
_symmetry_Int_Tables_number 123
_symmetry_space_group_name_Hall '-P 4 2'
loop_
_atom_site_label
_atom_site_fract_x
_atom_site_fract_y
_atom_site_fract_z
_atom_site_occupancy
Mg1 0.0000 0.0000 0.0000 1
Co1 0.5000 0.5000 0.0000 1
Cu1 0.0000 0.5000 0.5000 1
H1 0.5000 0.5000 0.5000 1
```

mass density: 6.592 g cm⁻³
total moment: 0.00 μB/f.u.
DFT total energy: -4.03 eV/atom



No. 4
A relaxed MgCo2CuH crystal, computed with PBE.

```
data_MgCo2CuH
_cell_length_a 3.5991
_cell_length_b 3.5991
_cell_length_c 4.0412
_cell_angle_alpha 90.00
_cell_angle_beta 90.00
_cell_angle_gamma 90.00
_symmetry_space_group_name_H-M 'P 4/m m m'
_symmetry_Int_Tables_number 123
_symmetry_space_group_name_Hall '-P 4 2'
loop_
_atom_site_label
_atom_site_fract_x
_atom_site_fract_y
_atom_site_fract_z
_atom_site_occupancy
Mg1 0.0000 0.0000 0.0000 1
Co1 0.0000 0.5000 0.5000 1
Cu1 0.5000 0.5000 0.0000 1
H1 0.0000 0.0000 0.5000 1
```

mass density: 6.558 g cm⁻³
total moment: 2.32 μB/f.u.
DFT total energy: -4.57 eV/atom



No. 5
A relaxed Co2CuMoH crystal, computed with PBE.

```
data_Co2CuMoH
_cell_length_a 3.6876
_cell_length_b 3.6876
_cell_length_c 3.7680
_cell_angle_alpha 90.00
_cell_angle_beta 90.00
_cell_angle_gamma 90.00
_symmetry_space_group_name_H-M 'P 4/m m m'
_symmetry_Int_Tables_number 123
_symmetry_space_group_name_Hall '-P 4 2'
loop_
_atom_site_label
_atom_site_fract_x
_atom_site_fract_y
_atom_site_fract_z
_atom_site_occupancy
Co1 0.0000 0.5000 0.0000 1
Cu1 0.0000 0.0000 0.5000 1
Mo1 0.5000 0.5000 0.5000 1
H1 0.5000 0.5000 0.0000 1
```

mass density: 9.021 g cm⁻³
total moment: 1.49 μB/f.u.
DFT total energy: -6.28 eV/atom



No. 6
A relaxed Co2CuMoH crystal, computed with PBE.

```
data_Co2CuMoH
_cell_length_a 3.7434
_cell_length_b 3.7434
_cell_length_c 3.6026
_cell_angle_alpha 90.00
_cell_angle_beta 90.00
_cell_angle_gamma 90.00
_symmetry_space_group_name_H-M 'P 4/m m m'
_symmetry_Int_Tables_number 123
_symmetry_space_group_name_Hall '-P 4 2'
loop_
_atom_site_label
_atom_site_fract_x
_atom_site_fract_y
_atom_site_fract_z
_atom_site_occupancy
Co1 0.0000 0.5000 0.0000 1
Cu1 0.0000 0.0000 0.5000 1
Mo1 0.5000 0.5000 0.5000 1
H1 0.0000 0.0000 0.0000 1
```

mass density: 9.156 g cm⁻³
total moment: 1.19 μB/f.u.
DFT total energy: -6.24 eV/atom



No. 7
A relaxed CoCuMo2H crystal, computed with PBE.

```
data_CoCuMo2H
_cell_length_a 3.9190
_cell_length_b 3.9190
_cell_length_c 3.6941
_cell_angle_alpha 90.00
_cell_angle_beta 90.00
_cell_angle_gamma 90.00
_symmetry_space_group_name_H-M 'P 4/m m m'
_symmetry_Int_Tables_number 123
_symmetry_space_group_name_Hall '-P 4 2'
loop_
_atom_site_label
_atom_site_fract_x
_atom_site_fract_y
_atom_site_fract_z
_atom_site_occupancy
Co1 0.0000 0.0000 0.0000 1
Cu1 0.5000 0.5000 0.0000 1
Mo1 0.0000 0.5000 0.5000 1
H1 0.0000 0.0000 0.5000 1
```

mass density: 9.230 g cm⁻³
total moment: 1.29 μB/f.u.
DFT total energy: -7.07 eV/atom



No. 8
A relaxed CoCu2HN crystal, computed with PBE.

```
data_CoCu2HN
_cell_length_a 4.5771
_cell_length_b 4.5771
_cell_length_c 3.3201
_cell_angle_alpha 90.00
_cell_angle_beta 90.00
_cell_angle_gamma 90.00
_symmetry_space_group_name_H-M 'P 4/m m m'
_symmetry_Int_Tables_number 123
_symmetry_space_group_name_Hall '-P 4 2'
loop_
_atom_site_label
_atom_site_fract_x
_atom_site_fract_y
_atom_site_fract_z
_atom_site_occupancy
Co1 0.0000 0.0000 0.0000 1
Cu1 0.0000 0.5000 0.0000 1
H1 0.5000 0.5000 0.5000 1
N1 0.0000 0.0000 0.5000 1
```

mass density: 4.800 g cm⁻³
total moment: 0.45 μB/f.u.
DFT total energy: -4.32 eV/atom